(1)
Entry from the Alexandria database: an optimized crystal structure of SrInCuAu3 (PBE).

a b c (Å): 7.695 6.029 6.845
angles (deg): 116.13 90.00 90.00
Fractional coordinates of all 12 atoms:
Sr (0.750, 0.308, 0.617)
Sr (0.250, 0.692, 0.383)
In (0.250, 0.377, 0.754)
In (0.750, 0.623, 0.246)
Cu (0.250, 0.939, 0.878)
Cu (0.750, 0.061, 0.122)
Au (0.250, 0.155, 0.309)
Au (0.000, 0.255, 0.000)
Au (0.500, 0.745, 0.000)
Au (0.500, 0.255, 0.000)
Au (0.000, 0.745, 0.000)
Au (0.750, 0.845, 0.691)

Output
The energy of formation comes out at -302 meV per atom. Its density of states at the Fermi level is 2.30 states/eV/f.u.

=====

(2)
Entry from the Alexandria database: an optimized crystal structure of Mg2Zn6Ir (PBE).

a b c (Å): 3.881 8.440 8.441
angles (deg): 90.00 90.00 90.00
Fractional coordinates of all 18 atoms:
Mg (0.000, 0.338, 0.838)
Mg (0.500, 0.838, 0.662)
Mg (0.500, 0.162, 0.338)
Mg (0.000, 0.662, 0.162)
Zn (0.000, 0.003, 0.164)
Zn (0.000, 0.664, 0.503)
Zn (0.000, 0.662, 0.838)
Zn (0.500, 0.162, 0.662)
Zn (0.500, 0.164, 0.997)
Zn (0.500, 0.503, 0.336)
Zn (0.000, 0.997, 0.836)
Zn (0.000, 0.336, 0.497)
Zn (0.000, 0.338, 0.162)
Zn (0.500, 0.838, 0.338)
Zn (0.500, 0.836, 0.003)
Zn (0.500, 0.497, 0.664)
Ir (0.500, 0.500, 0.000)
Ir (0.000, 0.000, 0.500)

Output
The excess energy over the best structure of this formula in the dataset comes out at 0.00 eV per formula unit. The energy of formation comes out at -138 meV per atom. Its density of states at the Fermi level is 1.67 states/eV/f.u.

=====

(3)
Entry from the Alexandria database: an optimized crystal structure of La2AgI (PBE).

a b c (Å): 8.442 8.442 7.047
angles (deg): 53.20 53.20 90.00
Fractional coordinates of all 8 atoms:
I (0.000, 0.000, 0.000)
I (0.750, 0.250, 0.500)
Ag (0.500, 0.500, 0.000)
Ag (0.250, 0.750, 0.500)
La (0.609, 0.125, 0.250)
La (0.141, 0.625, 0.250)
La (0.375, 0.391, 0.750)
La (0.875, 0.859, 0.750)

Output
The excess energy over the best structure of this formula in the dataset comes out at 0.92 eV per formula unit. Its density of states at the Fermi level is 6.18 states/eV/f.u.

=====

(4)
Entry from the Alexandria database: an optimized crystal structure of Pm2Ag6Hg (PBE).

a b c (Å): 5.932 6.269 6.269
angles (deg): 59.95 89.96 89.96
Fractional coordinates of all 9 atoms:
Pm (0.841, 0.667, 0.667)
Pm (0.159, 0.333, 0.333)
Ag (0.333, 0.368, 0.816)
Ag (0.332, 0.816, 0.816)
Ag (0.333, 0.816, 0.368)
Ag (0.667, 0.632, 0.184)
Ag (0.668, 0.184, 0.184)
Ag (0.667, 0.184, 0.632)
Hg (0.000, 0.000, 0.000)

Output
The energy of formation comes out at -159 meV per atom. Its density of states at the Fermi level is 5.13 states/eV/f.u.